(1)
First-principles (GGA-PBE) data for an optimized crystal structure of SmP4Rh4, as listed in Alexandria via LeMat-Bulk.

The calculation puts the total energy at -6.926 eV/atom. As for the formation enthalpy at 0 K: -0.730 eV per atom. The value obtained for the calculated volume is 15.8 Å³ per atom. As for the crystal system: tetragonal.

a = 6.1336 Å, b = 6.1336 Å, c = 7.5512 Å
α = 90.00°, β = 90.00°, γ = 90.00°
Fractional positions:
Sm1 0.0000 0.0000 0.0000
Sm2 0.5000 0.5000 0.5000
P1 0.5000 0.7757 0.8094
P2 0.5000 0.2243 0.8094
P3 0.7757 0.5000 0.1906
P4 0.2243 0.5000 0.1906
P5 0.2757 0.0000 0.3094
P6 0.7243 0.0000 0.3094
P7 0.0000 0.2757 0.6906
P8 0.0000 0.7243 0.6906
Rh1 0.2226 0.5000 0.8834
Rh2 0.7774 0.5000 0.8834
Rh3 0.5000 0.7774 0.1166
Rh4 0.5000 0.2226 0.1166
Rh5 0.0000 0.7226 0.3834
Rh6 0.0000 0.2774 0.3834
Rh7 0.2774 0.0000 0.6166
Rh8 0.7226 0.0000 0.6166

(2)
First-principles (GGA-PBE) data for an optimized crystal structure of Sm3P3Rh2, as listed in Alexandria via LeMat-Bulk.

The calculation puts the total energy at -6.803 eV/atom. As for the formation enthalpy at 0 K: -1.166 eV per atom. The value obtained for the calculated volume is 19.4 Å³ per atom. As for the crystal system: orthorhombic.

a = 4.1226 Å, b = 5.7586 Å, c = 13.9970 Å
α = 90.00°, β = 90.00°, γ = 110.97°
Fractional positions:
Sm1 0.9261 0.8521 0.3911
Sm2 0.0739 0.1479 0.8911
Sm3 0.9261 0.8521 0.1089
Sm4 0.0739 0.1479 0.6089
Sm5 0.6411 0.2822 0.2500
Sm6 0.3589 0.7178 0.7500
P1 0.6241 0.2483 0.4536
P2 0.3759 0.7517 0.9536
P3 0.6241 0.2483 0.0464
P4 0.3759 0.7517 0.5464
P5 0.3423 0.6845 0.2500
P6 0.6577 0.3155 0.7500
Rh1 0.7783 0.5566 0.9064
Rh2 0.2217 0.4434 0.4064
Rh3 0.7783 0.5566 0.5936
Rh4 0.2217 0.4434 0.0936

(3)
First-principles (GGA-PBE) data for an optimized crystal structure of Sm2P3Rh5, as listed in Alexandria via LeMat-Bulk.

The calculation puts the total energy at -7.165 eV/atom. As for the formation enthalpy at 0 K: -0.922 eV per atom. The value obtained for the calculated volume is 16.7 Å³ per atom. As for the crystal system: orthorhombic.

a = 3.9930 Å, b = 6.5736 Å, c = 12.8466 Å
α = 90.00°, β = 98.94°, γ = 90.00°
Fractional positions:
Sm1 0.4801 0.7822 0.9602
Sm2 0.1779 0.7461 0.3559
Sm3 0.8221 0.2461 0.6441
Sm4 0.5199 0.2822 0.0398
P1 0.7845 0.6903 0.5691
P2 0.6111 0.5271 0.2222
P3 0.0534 0.9853 0.1069
P4 0.2155 0.1903 0.4309
P5 0.9466 0.4853 0.8931
P6 0.3889 0.0271 0.7778
Rh1 0.4045 0.4050 0.8089
Rh2 0.2668 0.4964 0.5337
Rh3 0.7332 0.9964 0.4663
Rh4 0.1209 0.2332 0.2418
Rh5 0.3066 0.8799 0.6131
Rh6 0.9347 0.1192 0.8694
Rh7 0.6934 0.3799 0.3869
Rh8 0.8791 0.7332 0.7582
Rh9 0.0653 0.6192 0.1306
Rh10 0.5955 0.9050 0.1911

(4)
First-principles (GGA-PBE) data for an optimized crystal structure of SmP3Rh3, as listed in Alexandria via LeMat-Bulk.

The calculation puts the total energy at -7.033 eV/atom. As for the formation enthalpy at 0 K: -0.890 eV per atom. The value obtained for the calculated volume is 18.5 Å³ per atom. As for the crystal system: trigonal.

a = 6.7344 Å, b = 6.7344 Å, c = 7.6605 Å
α = 63.92°, β = 63.92°, γ = 60.00°
Fractional positions:
Sm1 0.3336 0.3336 0.9994
Sm2 0.6664 0.6664 0.0006
P1 0.2282 0.5915 0.2746
P2 0.9057 0.2282 0.2746
P3 0.5915 0.9057 0.2746
P4 0.4085 0.0943 0.7254
P5 0.0943 0.7718 0.7254
P6 0.7718 0.4085 0.7254
Rh1 0.4640 0.7825 0.6360
Rh2 0.7825 0.1176 0.6360
Rh3 0.1176 0.4640 0.6360
Rh4 0.8824 0.5360 0.3640
Rh5 0.2175 0.8824 0.3640
Rh6 0.5360 0.2175 0.3640

(5)
First-principles (GGA-PBE) data for an optimized crystal structure of SmPRh3, as listed in Alexandria via LeMat-Bulk.

The calculation puts the total energy at -7.330 eV/atom. As for the formation enthalpy at 0 K: -0.893 eV per atom. The value obtained for the calculated volume is 17.1 Å³ per atom. As for the crystal system: monoclinic.

a = 4.0566 Å, b = 4.0565 Å, c = 5.9178 Å
α = 70.02°, β = 70.02°, γ = 89.99°
Fractional positions:
Sm1 0.3897 0.1933 0.9251
P1 0.0294 0.8329 0.6477
Rh1 0.6370 0.9403 0.4317
Rh2 0.1369 0.4405 0.4317
Rh3 0.8147 0.6182 0.0748

(6)
First-principles (GGA-PBE) data for an optimized crystal structure of Sm2PRh6, as listed in Alexandria via LeMat-Bulk.

The calculation puts the total energy at -7.340 eV/atom. As for the formation enthalpy at 0 K: -0.789 eV per atom. The value obtained for the calculated volume is 17.0 Å³ per atom. As for the crystal system: cubic.

a = 6.0002 Å, b = 6.0002 Å, c = 6.0002 Å
α = 60.00°, β = 60.00°, γ = 60.00°
Fractional positions:
Sm1 0.2500 0.2500 0.2500
Sm2 0.7500 0.7500 0.7500
P1 0.0000 0.0000 0.0000
Rh1 0.2662 0.7338 0.7338
Rh2 0.2662 0.7338 0.2662
Rh3 0.7338 0.2662 0.7338
Rh4 0.7338 0.2662 0.2662
Rh5 0.7338 0.7338 0.2662
Rh6 0.2662 0.2662 0.7338